A geometry-optimized Li2VF6 structure. Source: Alexandria via LeMat-Bulk, functional PBE with a Hubbard U.

Computed properties:
Calculated density = 2.74 g/cm3
Energy relative to the lowest polymorph listed for this composition = 0.237 eV per formula unit

Lattice parameters (Å, degrees): 5.511 9.251 8.498 90.00 90.00 90.00
Space group Cmc2_1 (No. 36)
Symmetry-distinct sites (fractional):
1 Li 0.000 0.043 0.000 x4
2 Li 0.000 0.274 0.548 x4
3 V 0.000 0.379 0.214 x4
4 F 0.000 0.182 0.185 x4
5 F 0.000 0.423 0.713 x4
6 F 0.230 0.367 0.380 x8
7 F 0.239 0.114 0.565 x8